No. 1
Entry from Alexandria: crystalline LiZr at its relaxed geometry (GGA-PBE).

a = 5.867 Å, b = 5.867 Å, c = 5.867 Å
α = 90.00°, β = 90.00°, γ = 90.00°
Positions (direct):
Li (0.000, 0.000, 0.000)
Li (0.000, 0.500, 0.500)
Li (0.500, 0.000, 0.500)
Li (0.500, 0.500, 0.000)
Zr (0.250, 0.250, 0.750)
Zr (0.250, 0.750, 0.250)
Zr (0.750, 0.250, 0.250)
Zr (0.750, 0.750, 0.750)

Output
Symmetry: No. 216
Offset from the most stable computed form in eV per atom: 1.7616
E_form in meV per atom: 1845.3
M_tot in μB per formula unit: 1.946


No. 2
Entry from Alexandria: crystalline YRh4 at its relaxed geometry (GGA-PBE).

a = 3.889 Å, b = 3.889 Å, c = 11.773 Å
α = 90.00°, β = 90.00°, γ = 90.00°
Positions (direct):
Y (0.000, 0.000, 0.000)
Y (0.500, 0.500, 0.500)
Rh (0.000, 0.000, 0.397)
Rh (0.000, 0.000, 0.603)
Rh (0.000, 0.500, 0.250)
Rh (0.000, 0.500, 0.750)
Rh (0.500, 0.000, 0.250)
Rh (0.500, 0.000, 0.750)
Rh (0.500, 0.500, 0.103)
Rh (0.500, 0.500, 0.897)

Output
Symmetry: No. 139
E_form in meV per atom: -197.6
M_tot in μB per formula unit: 0.000


No. 3
Entry from Alexandria: crystalline Pr3GeRh3 at its relaxed geometry (GGA-PBE).

a = 5.954 Å, b = 5.954 Å, c = 5.954 Å
α = 109.77°, β = 109.77°, γ = 109.77°
Positions (direct):
Pr (0.198, 0.198, 0.604)
Pr (0.198, 0.604, 0.198)
Pr (0.604, 0.198, 0.198)
Ge (0.736, 0.736, 0.736)
Rh (0.126, 0.693, 0.693)
Rh (0.693, 0.126, 0.693)
Rh (0.693, 0.693, 0.126)

Output
Symmetry: No. 160
Offset from the most stable computed form in eV per atom: 0.2296
E_form in meV per atom: -495.2
M_tot in μB per formula unit: 0.000


No. 4
Entry from Alexandria: crystalline Y2HoAgO at its relaxed geometry (GGA-PBE).

a = 4.775 Å, b = 4.775 Å, c = 4.721 Å
α = 90.00°, β = 90.00°, γ = 90.00°
Positions (direct):
Y (0.000, 0.500, 0.000)
Y (0.500, 0.000, 0.000)
Ho (0.000, 0.000, 0.500)
Ag (0.500, 0.500, 0.500)
O (0.000, 0.000, 0.000)

Output
E_form (uncorrected) in meV per atom: -1229
Symmetry: No. 123
M_tot in μB per formula unit: 0.000


No. 5
Entry from Alexandria: crystalline CsHfI2N at its relaxed geometry (GGA-PBE).

a = 6.762 Å, b = 6.762 Å, c = 4.563 Å
α = 90.00°, β = 90.00°, γ = 90.00°
Positions (direct):
Cs (0.000, 0.000, 0.000)
Hf (0.500, 0.500, 0.500)
I (0.000, 0.500, 0.000)
I (0.500, 0.000, 0.000)
N (0.000, 0.000, 0.500)

Output
E_form (uncorrected) in meV per atom: 1573
Symmetry: No. 123
Offset from the most stable computed form in eV per atom: 2.3152
M_tot in μB per formula unit: 0.730


No. 6
Entry from Alexandria: crystalline Ga2PPdSe at its relaxed geometry (GGA-PBE).

a = 5.004 Å, b = 5.004 Å, c = 4.676 Å
α = 90.00°, β = 90.00°, γ = 90.00°
Positions (direct):
Ga (0.000, 0.500, 0.000)
Ga (0.500, 0.000, 0.000)
P (0.000, 0.000, 0.500)
Pd (0.500, 0.500, 0.500)
Se (0.500, 0.500, 0.000)

Output
E_form (uncorrected) in meV per atom: 605
Symmetry: No. 123
M_tot in μB per formula unit: 0.000


No. 7
Entry from Alexandria: crystalline SrYTl2 at its relaxed geometry (GGA-PBE).

a = 4.686 Å, b = 4.686 Å, c = 11.420 Å
α = 90.00°, β = 90.00°, γ = 90.00°
Positions (direct):
Sr (0.000, 0.000, 0.000)
Sr (0.500, 0.500, 0.500)
Y (0.000, 0.500, 0.250)
Y (0.500, 0.000, 0.750)
Tl (0.000, 0.000, 0.500)
Tl (0.000, 0.500, 0.750)
Tl (0.500, 0.000, 0.250)
Tl (0.500, 0.500, 0.000)

Output
Symmetry: No. 119
E_form in meV per atom: -195.2
M_tot in μB per formula unit: 0.000


No. 8
Entry from Alexandria: crystalline LaCd2Ag at its relaxed geometry (GGA-PBE).

a = 3.517 Å, b = 5.097 Å, c = 5.846 Å
α = 90.00°, β = 93.81°, γ = 90.00°
Positions (direct):
La (0.000, 0.000, 0.000)
Cd (0.458, 0.500, 0.742)
Cd (0.542, 0.500, 0.258)
Ag (0.500, 0.000, 0.500)

Output
Symmetry: No. 10
E_form in meV per atom: -180.8
M_tot in μB per formula unit: 0.000


No. 9
Entry from Alexandria: crystalline FeCoRu2 at its relaxed geometry (GGA-PBE).

a = 3.715 Å, b = 3.715 Å, c = 3.620 Å
α = 90.00°, β = 90.00°, γ = 90.00°
Positions (direct):
Fe (0.000, 0.000, 0.000)
Co (0.500, 0.500, 0.000)
Ru (0.000, 0.500, 0.500)
Ru (0.500, 0.000, 0.500)

Output
Symmetry: No. 123
Offset from the most stable computed form in eV per atom: 0.0363
E_form in meV per atom: 151.2
M_tot in μB per formula unit: 1.510


No. 10
Entry from Alexandria: crystalline CaMg2Tl at its relaxed geometry (GGA-PBE).

a = 4.390 Å, b = 4.390 Å, c = 11.536 Å
α = 90.00°, β = 90.00°, γ = 90.00°
Positions (direct):
Ca (0.250, 0.250, 0.236)
Ca (0.750, 0.750, 0.764)
Mg (0.250, 0.250, 0.941)
Mg (0.250, 0.750, 0.500)
Mg (0.750, 0.250, 0.500)
Mg (0.750, 0.750, 0.059)
Tl (0.250, 0.250, 0.678)
Tl (0.750, 0.750, 0.322)

Output
Symmetry: No. 129
Offset from the most stable computed form in eV per atom: 0.0476
E_form in meV per atom: -158.9
M_tot in μB per formula unit: 0.000


No. 11
Entry from Alexandria: crystalline BaAs2PdSe at its relaxed geometry (GGA-PBE).

a = 4.913 Å, b = 4.913 Å, c = 5.443 Å
α = 90.00°, β = 90.00°, γ = 90.00°
Positions (direct):
Ba (0.000, 0.000, 0.000)
As (0.000, 0.500, 0.500)
As (0.500, 0.000, 0.500)
Pd (0.500, 0.500, 0.500)
Se (0.500, 0.500, 0.000)

Output
E_form (uncorrected) in meV per atom: -431
Symmetry: No. 123
Offset from the most stable computed form in eV per atom: 0.0000
M_tot in μB per formula unit: 0.000


No. 12
Entry from Alexandria: crystalline SeBr2 at its relaxed geometry (GGA-PBE).

a = 3.443 Å, b = 3.443 Å, c = 13.523 Å
α = 90.00°, β = 90.00°, γ = 90.00°
Positions (direct):
Se (0.000, 0.000, 0.000)
Se (0.500, 0.500, 0.500)
Br (0.000, 0.000, 0.369)
Br (0.000, 0.000, 0.631)
Br (0.500, 0.500, 0.131)
Br (0.500, 0.500, 0.869)

Output
E_form (uncorrected) in meV per atom: 585
Symmetry: No. 139
Offset from the most stable computed form in eV per atom: 0.5937
M_tot in μB per formula unit: 0.000


| no. | ρ (g/cm3) | DOS(E_F) (states/eV/cell) | total energy (eV/atom) |
| --- | --- | --- | --- |
| 1 | 3.23 | 9.3 | -3.39 |
| 2 | 9.33 | 13.6 | -7.37 |
| 3 | 8.31 | 5.1 | -6.35 |
| 4 | 7.20 | 6.0 | -6.29 |
| 5 | 4.61 | 5.8 | -2.87 |
| 6 | 5.05 | 2.9 | -3.42 |
| 7 | 7.75 | 8.8 | -3.41 |
| 8 | 7.49 | 2.6 | -2.58 |
| 9 | 10.53 | 6.3 | -8.38 |
| 10 | 4.38 | 3.6 | -2.05 |
| 11 | 5.97 | 4.6 | -4.41 |
| 12 | 4.95 | 6.5 | -1.69 |